Entry 1:
First-principles (PBE-GGA) data for an optimized crystal structure of MgZrSiAg2, as listed in Alexandria.

Lattice parameters (Å, degrees): 4.6799 4.6799 4.9371 90.00 90.00 90.00
With the nearest neighbours (Å) after each atom.
Fractional positions:
Mg: 0.0000 0.0000 0.0000  2 Si 2.47
Zr: 0.5000 0.5000 0.0000  4 Mg 3.31, 8 Ag 3.40
Si: 0.0000 0.0000 0.5000  4 Ag 2.34, 2 Mg 2.47
Ag: 0.0000 0.5000 0.5000  2 Si 2.34
Ag: 0.5000 0.0000 0.5000  2 Si 2.34

The value obtained for the density of states at the Fermi level is 0.71 states/eV/atom. As for the formation energy without anion corrections: 0.527 eV/atom.

=====

Entry 2:
First-principles (PBE-GGA) data for an optimized crystal structure of Sm5Mg12Ag3, as listed in Alexandria.

Lattice parameters (Å, degrees): 15.0363 15.0363 15.0363 109.47 109.47 109.47
With the nearest neighbours (Å) after each atom.
Fractional positions:
Sm: 0.0000 0.0000 0.0000  6 Mg 3.09
Sm: 0.0000 0.0000 0.5000  6 Mg 3.09
Sm: 0.0000 0.5000 0.0000  6 Mg 3.09
Sm: 0.0000 0.5000 0.5000  6 Mg 3.09
Sm: 0.1250 0.7500 0.8750  4 Mg 3.20
Sm: 0.1250 0.8750 0.2500  4 Mg 3.20
Sm: 0.2500 0.1250 0.8750  4 Mg 3.20
Sm: 0.2500 0.6250 0.3750  4 Mg 3.20
Sm: 0.3750 0.2500 0.6250  4 Mg 3.20
Sm: 0.3750 0.6250 0.7500  4 Mg 3.20
Sm: 0.5000 0.0000 0.0000  6 Mg 3.09
Sm: 0.5000 0.0000 0.5000  6 Mg 3.09
Sm: 0.5000 0.5000 0.0000  6 Mg 3.09
Sm: 0.5000 0.5000 0.5000  6 Mg 3.09
Sm: 0.6250 0.3750 0.2500  4 Mg 3.20
Sm: 0.6250 0.7500 0.3750  4 Mg 3.20
Sm: 0.7500 0.3750 0.6250  4 Mg 3.20
Sm: 0.7500 0.8750 0.1250  4 Mg 3.20
Sm: 0.8750 0.1250 0.7500  4 Mg 3.20
Sm: 0.8750 0.2500 0.1250  4 Mg 3.20
Mg: 0.0463 0.6369 0.3898  1 Ag 2.63, 1 Mg 2.91
Mg: 0.0463 0.9094 0.6565  1 Ag 2.63, 1 Mg 2.91
Mg: 0.0906 0.2471 0.1369  1 Ag 2.63, 1 Mg 2.91
Mg: 0.0906 0.3435 0.9537  1 Ag 2.63, 1 Mg 2.91
Mg: 0.1102 0.7471 0.6565  1 Ag 2.63, 1 Mg 2.91
Mg: 0.1102 0.8631 0.4537  1 Ag 2.63, 1 Mg 2.91
Mg: 0.1369 0.0906 0.2471  1 Ag 2.63, 1 Mg 2.91
Mg: 0.1369 0.5463 0.8898  1 Ag 2.63, 1 Mg 2.91
Mg: 0.1565 0.2471 0.6102  1 Ag 2.63, 1 Mg 2.91
Mg: 0.1565 0.4094 0.5463  1 Ag 2.63, 1 Mg 2.91
Mg: 0.2471 0.1369 0.0906  1 Ag 2.63, 1 Mg 2.91
Mg: 0.2471 0.6102 0.1565  1 Ag 2.63, 1 Mg 2.91
Mg: 0.2529 0.3435 0.8898  1 Ag 2.63, 1 Mg 2.91
Mg: 0.2529 0.4094 0.3631  1 Ag 2.63, 1 Mg 2.91
Mg: 0.3435 0.8898 0.2529  1 Ag 2.63, 1 Mg 2.91
Mg: 0.3435 0.9537 0.0906  1 Ag 2.63, 1 Mg 2.91
Mg: 0.3631 0.2529 0.4094  1 Ag 2.63, 1 Mg 2.91
Mg: 0.3631 0.6102 0.9537  1 Ag 2.63, 1 Mg 2.91
Mg: 0.3898 0.0463 0.6369  1 Ag 2.63, 1 Mg 2.91
Mg: 0.3898 0.8435 0.7529  1 Ag 2.63, 1 Mg 2.91
Mg: 0.4094 0.3631 0.2529  1 Ag 2.63, 1 Mg 2.91
Mg: 0.4094 0.5463 0.1565  1 Ag 2.63, 1 Mg 2.91
Mg: 0.4537 0.1102 0.8631  1 Ag 2.63, 1 Mg 2.91
Mg: 0.4537 0.8435 0.5906  1 Ag 2.63, 1 Mg 2.91
Mg: 0.5463 0.1565 0.4094  1 Ag 2.63, 1 Mg 2.91
Mg: 0.5463 0.8898 0.1369  1 Ag 2.63, 1 Mg 2.91
Mg: 0.5906 0.4537 0.8435  1 Ag 2.63, 1 Mg 2.91
Mg: 0.5906 0.6369 0.7471  1 Ag 2.63, 1 Mg 2.91
Mg: 0.6102 0.1565 0.2471  1 Ag 2.63, 1 Mg 2.91
Mg: 0.6102 0.9537 0.3631  1 Ag 2.63, 1 Mg 2.91
Mg: 0.6369 0.3898 0.0463  1 Ag 2.63, 1 Mg 2.91
Mg: 0.6369 0.7471 0.5906  1 Ag 2.63, 1 Mg 2.91
Mg: 0.6565 0.0463 0.9094  1 Ag 2.63, 1 Mg 2.91
Mg: 0.6565 0.1102 0.7471  1 Ag 2.63, 1 Mg 2.91
Mg: 0.7471 0.5906 0.6369  1 Ag 2.63, 1 Mg 2.91
Mg: 0.7471 0.6565 0.1102  1 Ag 2.63, 1 Mg 2.91
Mg: 0.7529 0.3898 0.8435  1 Ag 2.63, 1 Mg 2.91
Mg: 0.7529 0.8631 0.9094  1 Ag 2.63, 1 Mg 2.91
Mg: 0.8435 0.5906 0.4537  1 Ag 2.63, 1 Mg 2.91
Mg: 0.8435 0.7529 0.3898  1 Ag 2.63, 1 Mg 2.91
Mg: 0.8631 0.4537 0.1102  1 Ag 2.63, 1 Mg 2.91
Mg: 0.8631 0.9094 0.7529  1 Ag 2.63, 1 Mg 2.91
Mg: 0.8898 0.1369 0.5463  1 Ag 2.63, 1 Mg 2.91
Mg: 0.8898 0.2529 0.3435  1 Ag 2.63, 1 Mg 2.91
Mg: 0.9094 0.6565 0.0463  1 Ag 2.63, 1 Mg 2.91
Mg: 0.9094 0.7529 0.8631  1 Ag 2.63, 1 Mg 2.91
Mg: 0.9537 0.0906 0.3435  1 Ag 2.63, 1 Mg 2.91
Mg: 0.9537 0.3631 0.6102  1 Ag 2.63, 1 Mg 2.91
Ag: 0.1250 0.2500 0.3750  4 Mg 2.63
Ag: 0.1250 0.3750 0.7500  4 Mg 2.63
Ag: 0.2500 0.3750 0.1250  4 Mg 2.63
Ag: 0.2500 0.8750 0.6250  4 Mg 2.63
Ag: 0.3750 0.1250 0.2500  4 Mg 2.63
Ag: 0.3750 0.7500 0.1250  4 Mg 2.63
Ag: 0.6250 0.2500 0.8750  4 Mg 2.63
Ag: 0.6250 0.8750 0.7500  4 Mg 2.63
Ag: 0.7500 0.1250 0.3750  4 Mg 2.63
Ag: 0.7500 0.6250 0.8750  4 Mg 2.63
Ag: 0.8750 0.6250 0.2500  4 Mg 2.63
Ag: 0.8750 0.7500 0.6250  4 Mg 2.63

The value obtained for the density of states at the Fermi level is 1.08 states/eV/atom. The total energy comes out at -2.007 eV/atom.

=====

Entry 3:
First-principles (PBE-GGA) data for an optimized crystal structure of SmMg2Ag, as listed in Alexandria.

Lattice parameters (Å, degrees): 7.1360 7.1360 7.1360 90.00 90.00 90.00
With the nearest neighbours (Å) after each atom.
Fractional positions:
Sm: 0.0000 0.0000 0.0000  8 Mg 3.09
Sm: 0.0000 0.5000 0.5000  8 Mg 3.09
Sm: 0.5000 0.0000 0.5000  8 Mg 3.09
Sm: 0.5000 0.5000 0.0000  8 Mg 3.09
Mg: 0.2500 0.2500 0.2500  4 Ag 3.09, 4 Sm 3.09
Mg: 0.2500 0.2500 0.7500  4 Sm 3.09, 4 Ag 3.09
Mg: 0.2500 0.7500 0.2500  4 Sm 3.09, 4 Ag 3.09
Mg: 0.2500 0.7500 0.7500  4 Ag 3.09, 4 Sm 3.09
Mg: 0.7500 0.2500 0.2500  4 Sm 3.09, 4 Ag 3.09
Mg: 0.7500 0.2500 0.7500  4 Ag 3.09, 4 Sm 3.09
Mg: 0.7500 0.7500 0.2500  4 Ag 3.09, 4 Sm 3.09
Mg: 0.7500 0.7500 0.7500  4 Sm 3.09, 4 Ag 3.09
Ag: 0.0000 0.0000 0.5000  8 Mg 3.09
Ag: 0.0000 0.5000 0.0000  8 Mg 3.09
Ag: 0.5000 0.0000 0.0000  8 Mg 3.09
Ag: 0.5000 0.5000 0.5000  8 Mg 3.09

The value obtained for the density of states at the Fermi level is 0.58 states/eV/atom. The total energy comes out at -2.793 eV/atom.

=====

Entry 4:
First-principles (PBE-GGA) data for an optimized crystal structure of Sm3MgAg, as listed in Alexandria.

Lattice parameters (Å, degrees): 7.1513 7.1513 13.7258 90.30 90.30 56.12
With the nearest neighbours (Å) after each atom.
Fractional positions:
Sm: 0.0141 0.6296 0.3962  2 Ag 3.17-3.42, 2 Mg 3.30-3.45, 5 Sm 3.48-3.54
Sm: 0.0804 0.0805 0.3819  2 Ag 3.06-3.16, 1 Mg 3.37
Sm: 0.0805 0.0804 0.8819  2 Ag 3.06-3.16, 1 Mg 3.37
Sm: 0.1667 0.5332 0.8074  2 Ag 2.97-3.12
Sm: 0.3704 0.9859 0.1038  2 Ag 3.17-3.42, 2 Mg 3.30-3.45, 5 Sm 3.48-3.54
Sm: 0.4668 0.8333 0.6926  2 Ag 2.97-3.12
Sm: 0.5332 0.1667 0.3074  2 Ag 2.97-3.12
Sm: 0.6296 0.0141 0.8962  2 Ag 3.17-3.42, 2 Mg 3.30-3.45, 5 Sm 3.48-3.54
Sm: 0.8333 0.4668 0.1926  2 Ag 2.97-3.12
Sm: 0.9195 0.9196 0.1181  2 Ag 3.06-3.16, 1 Mg 3.37
Sm: 0.9196 0.9195 0.6181  2 Ag 3.06-3.16, 1 Mg 3.37
Sm: 0.9859 0.3704 0.6038  2 Ag 3.17-3.42, 2 Mg 3.30-3.45, 5 Sm 3.48-3.54
Mg: 0.4087 0.4221 0.0754  2 Ag 2.83-2.84, 1 Mg 2.98
Mg: 0.4221 0.4087 0.5754  2 Ag 2.83-2.84, 1 Mg 2.98
Mg: 0.5779 0.5913 0.4246  2 Ag 2.83-2.84, 1 Mg 2.98
Mg: 0.5913 0.5779 0.9246  2 Ag 2.83-2.84, 1 Mg 2.98
Ag: 0.0000 0.5000 0.0000  2 Mg 2.84, 4 Sm 2.97-3.16
Ag: 0.3347 0.6653 0.2500  2 Mg 2.83, 4 Sm 3.06-3.12
Ag: 0.5000 0.0000 0.5000  2 Mg 2.84, 4 Sm 2.97-3.16
Ag: 0.6653 0.3347 0.7500  2 Mg 2.83, 4 Sm 3.06-3.12

The value obtained for the density of states at the Fermi level is 1.03 states/eV/atom. The value obtained for the distance to the lowest polymorph of the same formula is 0.065 eV per atom.

=====

Entry 5:
First-principles (PBE-GGA) data for an optimized crystal structure of SmMg3Ag3, as listed in Alexandria.

Lattice parameters (Å, degrees): 7.2284 7.2284 7.2284 90.00 90.00 90.00
With the nearest neighbours (Å) after each atom.
Fractional positions:
Sm: 0.0000 0.0000 0.0000  12 Mg 4.04, 12 Ag 4.04
Sm: 0.5000 0.5000 0.5000  12 Mg 4.04, 12 Ag 4.04
Mg: 0.0000 0.2500 0.5000  4 Ag 2.56
Mg: 0.0000 0.7500 0.5000  4 Ag 2.56
Mg: 0.2500 0.5000 0.0000  4 Ag 2.56
Mg: 0.5000 0.0000 0.2500  4 Ag 2.56
Mg: 0.5000 0.0000 0.7500  4 Ag 2.56
Mg: 0.7500 0.5000 0.0000  4 Ag 2.56
Ag: 0.0000 0.5000 0.2500  4 Mg 2.56
Ag: 0.0000 0.5000 0.7500  4 Mg 2.56
Ag: 0.2500 0.0000 0.5000  4 Mg 2.56
Ag: 0.5000 0.2500 0.0000  4 Mg 2.56
Ag: 0.5000 0.7500 0.0000  4 Mg 2.56
Ag: 0.7500 0.0000 0.5000  4 Mg 2.56

The value obtained for the density of states at the Fermi level is 0.70 states/eV/atom. The value obtained for the distance to the lowest polymorph of the same formula is 0.488 eV per atom.

=====

Entry 6:
First-principles (PBE-GGA) data for an optimized crystal structure of SmMgAg, as listed in Alexandria.

Lattice parameters (Å, degrees): 4.9456 4.9456 3.4597 90.00 90.00 120.00
With the nearest neighbours (Å) after each atom.
Fractional positions:
Sm: 0.0000 0.0000 0.0000  6 Mg 3.34, 6 Ag 3.34, 2 Sm 3.46
Mg: 0.3333 0.6667 0.5000  3 Ag 2.86
Ag: 0.6667 0.3333 0.5000  3 Mg 2.86

The value obtained for the density of states at the Fermi level is 0.86 states/eV/atom. The total energy comes out at -3.239 eV/atom.

=====

Entry 7:
First-principles (PBE-GGA) data for an optimized crystal structure of SmMg6Ag6, as listed in Alexandria.

Lattice parameters (Å, degrees): 7.4358 7.4358 7.4358 135.39 100.39 96.19
With the nearest neighbours (Å) after each atom.
Fractional positions:
Sm: 0.0000 0.0000 0.0000  8 Mg 3.25-3.44, 4 Ag 3.54
Mg: 0.1923 0.6923 0.5000  6 Ag 2.83-2.86
Mg: 0.3416 0.0000 0.3416  6 Ag 2.99-3.04, 1 Mg 3.02, 1 Sm 3.25
Mg: 0.3461 0.3461 0.0000  6 Ag 2.93-3.04, 3 Mg 3.06-3.21
Mg: 0.6539 0.6539 0.0000  6 Ag 2.93-3.04, 3 Mg 3.06-3.21
Mg: 0.6584 0.0000 0.6584  6 Ag 2.99-3.04, 1 Mg 3.02, 1 Sm 3.25
Mg: 0.8077 0.3077 0.5000  6 Ag 2.83-2.86
Ag: 0.0000 0.0000 0.5000  4 Ag 2.82-2.87, 6 Mg 2.83-2.99
Ag: 0.0000 0.5000 0.0000  4 Ag 2.82-2.87, 6 Mg 2.83-2.99
Ag: 0.2243 0.5000 0.7243  6 Mg 2.86-3.04, 4 Ag 2.87
Ag: 0.5000 0.0000 0.0000  4 Ag 2.82-2.87, 6 Mg 2.83-2.99
Ag: 0.5000 0.5000 0.5000  4 Ag 2.82-2.87, 6 Mg 2.83-2.99
Ag: 0.7757 0.5000 0.2757  6 Mg 2.86-3.04, 4 Ag 2.87

The value obtained for the density of states at the Fermi level is 0.55 states/eV/atom. The total energy comes out at -2.607 eV/atom.

=====

Entry 8:
First-principles (PBE-GGA) data for an optimized crystal structure of SmMgAg4, as listed in Alexandria.

Lattice parameters (Å, degrees): 3.2301 4.9294 7.9620 90.00 95.75 90.00
With the nearest neighbours (Å) after each atom.
Fractional positions:
Sm: 0.0000 0.0000 0.0000  12 Ag 3.08-3.35, 2 Sm 3.23
Mg: 0.0003 0.5000 0.4992  8 Ag 2.87-3.16
Ag: 0.3382 0.0000 0.6517  3 Ag 2.72-2.83, 2 Mg 2.91
Ag: 0.4982 0.5000 0.8195  3 Ag 2.83-2.86, 2 Mg 2.88-3.16
Ag: 0.5036 0.5000 0.1794  3 Ag 2.83-2.86, 2 Mg 2.87-3.16
Ag: 0.6588 0.0000 0.3482  3 Ag 2.72-2.83, 2 Mg 2.91

The value obtained for the density of states at the Fermi level is 0.43 states/eV/atom. The value obtained for the distance to the lowest polymorph of the same formula is 0.055 eV per atom.